Compound: LuFeReSb
Source: the Open Quantum Materials Database
Functional: GGA-PBE
Structure: optimized geometry

The raw total energy is -6.89 eV/atom.

The space group is F-43m (No. 216) and the conventional cell measures 6.5647, 6.5647 and 6.5647 Å, with angles of 90.00, 90.00 and 90.00 degrees. The inequivalent atoms are Lu at (0.0000, 0.0000, 0.0000), Fe at (0.0000, 0.0000, 0.5000), Re at (0.2500, 0.2500, 0.7500) and Sb at (0.2500, 0.2500, 0.2500).

***

Compound: LuFeReSb
Source: the Open Quantum Materials Database
Functional: GGA-PBE
Structure: optimized geometry

The raw total energy is -7.16 eV/atom.

The space group is F-43m (No. 216) and the conventional cell measures 6.4726, 6.4726 and 6.4726 Å, with angles of 90.00, 90.00 and 90.00 degrees. The inequivalent atoms are Lu at (0.0000, 0.0000, 0.0000), Fe at (0.2500, 0.2500, 0.7500), Re at (0.2500, 0.2500, 0.2500) and Sb at (0.0000, 0.0000, 0.5000).

***

Compound: LuFeReSn
Source: the Open Quantum Materials Database
Functional: GGA-PBE
Structure: optimized geometry

The raw total energy is -6.94 eV/atom.

The space group is F-43m (No. 216) and the conventional cell measures 6.6242, 6.6242 and 6.6242 Å, with angles of 90.00, 90.00 and 90.00 degrees. The inequivalent atoms are Lu at (0.0000, 0.0000, 0.0000), Fe at (0.0000, 0.0000, 0.5000), Re at (0.2500, 0.2500, 0.7500) and Sn at (0.2500, 0.2500, 0.2500).

***

Compound: LuFeReSn
Source: the Open Quantum Materials Database
Functional: GGA-PBE
Structure: optimized geometry

The raw total energy is -7.09 eV/atom.

The space group is F-43m (No. 216) and the conventional cell measures 6.4972, 6.4972 and 6.4972 Å, with angles of 90.00, 90.00 and 90.00 degrees. The inequivalent atoms are Lu at (0.0000, 0.0000, 0.0000), Fe at (0.2500, 0.2500, 0.7500), Re at (0.2500, 0.2500, 0.2500) and Sn at (0.0000, 0.0000, 0.5000).

***

Compound: LuFe2Sb
Source: the Open Quantum Materials Database
Functional: GGA-PBE
Structure: optimized geometry

The raw total energy is -6.24 eV/atom.

The space group is F-43m (No. 216) and the conventional cell measures 6.5581, 6.5581 and 6.5581 Å, with angles of 90.00, 90.00 and 90.00 degrees. The inequivalent atoms are Lu at (0.0000, 0.0000, 0.0000), Fe at (0.0000, 0.0000, 0.5000), Fe at (0.2500, 0.2500, 0.2500) and Sb at (0.2500, 0.2500, 0.7500).

***

Compound: Lu3Sc3FeSb2
Source: the Open Quantum Materials Database
Functional: GGA-PBE
Structure: optimized geometry

The raw total energy is -5.97 eV/atom.

The space group is P-62m (No. 189) and the conventional cell measures 7.9055, 7.9055 and 3.9198 Å, with angles of 90.00, 90.00 and 120.00 degrees. The inequivalent atoms are Lu at (0.0000, 0.2370, 0.0000), Sc at (0.0000, 0.6091, 0.5000), Fe at (0.0000, 0.0000, 0.5000) and Sb at (0.3333, 0.6667, 0.0000).

***

Compound: Lu3Sc3FeSb2
Source: the Open Quantum Materials Database
Functional: GGA-PBE
Structure: optimized geometry

The raw total energy is -6.06 eV/atom.

The space group is P-62m (No. 189) and the conventional cell measures 7.7660, 7.7660 and 4.0360 Å, with angles of 90.00, 90.00 and 120.00 degrees. The inequivalent atoms are Lu at (0.0000, 0.6113, 0.0000), Sc at (0.0000, 0.2273, 0.5000), Fe at (0.0000, 0.0000, 0.0000) and Sb at (0.3333, 0.6667, 0.5000).

***

Compound: LuFeTcSb
Source: the Open Quantum Materials Database
Functional: GGA-PBE
Structure: optimized geometry

The raw total energy is -6.60 eV/atom.

The space group is F-43m (No. 216) and the conventional cell measures 6.6522, 6.6522 and 6.6522 Å, with angles of 90.00, 90.00 and 90.00 degrees. The inequivalent atoms are Lu at (0.0000, 0.0000, 0.0000), Fe at (0.0000, 0.0000, 0.5000), Tc at (0.2500, 0.2500, 0.7500) and Sb at (0.2500, 0.2500, 0.2500).

***

Compound: LuFeTcSb
Source: the Open Quantum Materials Database
Functional: GGA-PBE
Structure: optimized geometry

The raw total energy is -6.91 eV/atom.

The space group is F-43m (No. 216) and the conventional cell measures 6.4524, 6.4524 and 6.4524 Å, with angles of 90.00, 90.00 and 90.00 degrees. The inequivalent atoms are Lu at (0.0000, 0.0000, 0.0000), Fe at (0.2500, 0.2500, 0.7500), Tc at (0.2500, 0.2500, 0.2500) and Sb at (0.0000, 0.0000, 0.5000).

***

Compound: YLuFeSb
Source: the Open Quantum Materials Database
Functional: GGA-PBE
Structure: optimized geometry

The raw total energy is -5.77 eV/atom.

The space group is F-43m (No. 216) and the conventional cell measures 6.9551, 6.9551 and 6.9551 Å, with angles of 90.00, 90.00 and 90.00 degrees. The inequivalent atoms are Y at (0.0000, 0.0000, 0.0000), Lu at (0.2500, 0.2500, 0.7500), Fe at (0.0000, 0.0000, 0.5000) and Sb at (0.2500, 0.2500, 0.2500).

***

Compound: LuScFe
Source: the Open Quantum Materials Database
Functional: GGA-PBE
Structure: optimized geometry

The raw total energy is -5.48 eV/atom.

The space group is F-43m (No. 216) and the conventional cell measures 6.3340, 6.3340 and 6.3340 Å, with angles of 90.00, 90.00 and 90.00 degrees. The inequivalent atoms are Lu at (0.0000, 0.0000, 0.0000), Sc at (0.2500, 0.2500, 0.7500) and Fe at (0.0000, 0.0000, 0.5000).

***

Compound: LuScFeSi2
Source: the Open Quantum Materials Database
Functional: GGA-PBE
Structure: optimized geometry

The raw total energy is -6.75 eV/atom.

The space group is C2/m (No. 12) and the conventional cell measures 10.0328, 4.0489 and 9.6267 Å, with angles of 90.00, 119.42 and 90.00 degrees. The inequivalent atoms are Lu at (0.0048, 0.0000, 0.1761), Sc at (0.1828, 0.0000, 0.6065), Fe at (0.2272, 0.5000, 0.8733), Si at (0.0061, 0.5000, 0.3775) and Si at (0.1517, 0.5000, 0.0673).